Record 1
VASP calculation (PBE) on a relaxed CeAl8Cr4 crystal.

Results
As for the space-group type: I4/mmm. The raw total energy comes out at -77.10 eV per cell.

a = 6.821 Å, b = 6.821 Å, c = 6.821 Å
α = 97.74°, β = 97.74°, γ = 136.95°
Positions (direct):
Ce 0.000 0.000 0.000
Al 0.000 0.342 0.342
Al 0.000 0.658 0.658
Al 0.278 0.500 0.778
Al 0.342 0.000 0.342
Al 0.500 0.278 0.778
Al 0.500 0.722 0.222
Al 0.658 0.000 0.658
Al 0.722 0.500 0.222
Cr 0.000 0.000 0.500
Cr 0.000 0.500 0.000
Cr 0.500 0.000 0.000
Cr 0.500 0.500 0.500



Record 2
VASP calculation (PBE) on a relaxed AlReNi2 crystal.

Results
As for the space-group type: P4/mmm. The raw total energy comes out at -28.85 eV per cell.

a = 2.687 Å, b = 2.687 Å, c = 6.887 Å
α = 90.00°, β = 90.00°, γ = 90.00°
Positions (direct):
Al 0.000 0.000 0.000
Re 0.000 0.000 0.500
Ni 0.500 0.500 0.237
Ni 0.500 0.500 0.763



So what do the calculations give for ΔH_f (0 K)? Going down the list: -210, -274 meV/atom.